1.
Entry from Alexandria via LeMat-Bulk: a geometry-optimized Cr3GeI structure (PBE).

* symmetry: Pm-3m, No. 221
* final energy: -5.5063 eV per atom
* polymorph energy (0 for the lowest one): 701 meV per atom
* calculated volume: 26.3 A^3/atom

Cell: 5.086 5.086 5.086 Å, 90.00 90.00 90.00°
Element x y z (fractional)
1 Cr 0.000 0.000 0.500
2 Cr 0.000 0.500 0.000
3 Cr 0.500 0.000 0.000
4 Ge 0.500 0.500 0.500
5 I 0.000 0.000 0.000

=====

2.
Entry from Alexandria via LeMat-Bulk: a geometry-optimized KMg3Ru structure (PBE).

* symmetry: Pm-3m, No. 221
* formation energy: 0.184 eV per atom
* final energy: -2.8475 eV per atom
* polymorph energy (0 for the lowest one): 0 meV per atom
* calculated volume: 27.0 A^3/atom

Cell: 5.133 5.133 5.133 Å, 90.00 90.00 90.00°
Element x y z (fractional)
1 K 0.000 0.000 0.000
2 Mg 0.000 0.500 0.500
3 Mg 0.500 0.000 0.500
4 Mg 0.500 0.500 0.000
5 Ru 0.500 0.500 0.500

=====

3.
Entry from Alexandria via LeMat-Bulk: a geometry-optimized TlTeAu2 structure (PBE).

* symmetry: Fm-3m, No. 225
* final energy: -2.8928 eV per atom
* polymorph energy (0 for the lowest one): 138 meV per atom
* calculated volume: 23.7 A^3/atom

Cell: 5.117 5.117 5.117 Å, 60.00 60.00 60.00°
Element x y z (fractional)
1 Tl 0.000 0.000 0.000
2 Te 0.500 0.500 0.500
3 Au 0.250 0.250 0.250
4 Au 0.750 0.750 0.750

=====

4.
Entry from Alexandria via LeMat-Bulk: a geometry-optimized RuI structure (PBE).

* symmetry: I-43m, No. 217
* final energy: -4.7346 eV per atom
* polymorph energy (0 for the lowest one): 446 meV per atom
* calculated volume: 33.0 A^3/atom

Cell: 7.000 7.000 7.000 Å, 109.47 109.47 109.47°
Element x y z (fractional)
1 Ru 0.000 0.000 0.767
2 Ru 0.000 0.767 0.000
3 Ru 0.233 0.233 0.233
4 Ru 0.767 0.000 0.000
5 I 0.000 0.000 0.393
6 I 0.000 0.393 0.000
7 I 0.393 0.000 0.000
8 I 0.607 0.607 0.607

=====

5.
Entry from Alexandria via LeMat-Bulk: a geometry-optimized La2LuAg structure (PBE).

* symmetry: Fm-3m, No. 225
* formation energy: 0.024 eV per atom
* final energy: -4.2824 eV per atom
* polymorph energy (0 for the lowest one): 112 meV per atom
* calculated volume: 30.1 A^3/atom

Cell: 5.544 5.544 5.544 Å, 60.00 60.00 60.00°
Element x y z (fractional)
1 La 0.250 0.250 0.250
2 La 0.750 0.750 0.750
3 Lu 0.000 0.000 0.000
4 Ag 0.500 0.500 0.500

=====

6.
Entry from Alexandria via LeMat-Bulk: a geometry-optimized K4Pr3ErTe8 structure (PBE).

* symmetry: R-3m, No. 166
* final energy: -4.4329 eV per atom
* calculated volume: 37.9 A^3/atom

Cell: 9.824 9.824 9.824 Å, 55.91 55.91 55.91°
Element x y z (fractional)
1 K 0.000 0.000 0.000
2 K 0.000 0.500 0.500
3 K 0.500 0.000 0.500
4 K 0.500 0.500 0.000
5 Pr 0.000 0.000 0.500
6 Pr 0.000 0.500 0.000
7 Pr 0.500 0.000 0.000
8 Er 0.500 0.500 0.500
9 Te 0.239 0.239 0.239
10 Te 0.247 0.732 0.732
11 Te 0.268 0.268 0.753
12 Te 0.268 0.753 0.268
13 Te 0.732 0.247 0.732
14 Te 0.732 0.732 0.247
15 Te 0.753 0.268 0.268
16 Te 0.761 0.761 0.761

=====

7.
Entry from Alexandria via LeMat-Bulk: a geometry-optimized ZrTi9Pb2 structure (PBE).

* symmetry: R-3m, No. 166
* formation energy: 0.123 eV per atom
* final energy: -7.1281 eV per atom
* calculated volume: 19.2 A^3/atom

Cell: 8.815 8.815 8.815 Å, 37.81 37.81 37.81°
Element x y z (fractional)
1 Zr 0.000 0.000 0.000
2 Ti 0.079 0.582 0.582
3 Ti 0.333 0.333 0.333
4 Ti 0.418 0.418 0.921
5 Ti 0.418 0.921 0.418
6 Ti 0.500 0.500 0.500
7 Ti 0.582 0.079 0.582
8 Ti 0.582 0.582 0.079
9 Ti 0.667 0.667 0.667
10 Ti 0.921 0.418 0.418
11 Pb 0.137 0.137 0.137
12 Pb 0.863 0.863 0.863

=====

8.
Entry from Alexandria via LeMat-Bulk: a geometry-optimized ScIr5 structure (PBE).

* symmetry: F-43m, No. 216
* formation energy: -0.006 eV per atom
* final energy: -8.4455 eV per atom
* calculated volume: 16.3 A^3/atom

Cell: 5.169 5.169 5.169 Å, 60.00 60.00 60.00°
Element x y z (fractional)
1 Sc 0.000 0.000 0.000
2 Ir 0.127 0.624 0.624
3 Ir 0.250 0.250 0.250
4 Ir 0.624 0.127 0.624
5 Ir 0.624 0.624 0.127
6 Ir 0.624 0.624 0.624

=====

> calculated volume of number 7 (ZrTi9Pb2)?

19.2 A^3/atom

=====

> What is the formula in the fourth record?

RuI

=====

> Which of these has the highest calculated volume?

K4Pr3ErTe8